K2NaI, optimized geometry, DFT PBE; relative energy among the computed polymorphs = 0.0 meV/atom; calculated total energy = -1.92 eV per atom; formation energy from raw total energies = -2.63 eV per formula unit
1.0
-1.0411 -1.2174 4.1768
1.6545 -4.0828 -0.7776
8.2985 2.8128 2.8882
I K Na
1 2 1
Direct
0.5000 0.5000 0.0000 I
0.0000 0.0000 0.7775 K
0.0000 0.0000 0.2225 K
0.5000 0.5000 0.5000 Na